Record 1
This record from the Alexandria database describes a relaxed structure of AcTbSm2. The functional is PBE.

Lattice parameters (Å, degrees): 5.7912 5.7912 5.7912 116.38 116.38 96.39
Closest atoms and distances in Å follow each position.
Element x y z (fractional)
Ac  0.0000  0.0000  0.0000  6 Sm 3.61-3.86, 4 Tb 3.61
Tb  0.2500  0.7500  0.5000  4 Ac 3.61, 6 Sm 3.61-3.86
Sm  0.5000  0.5000  0.0000  4 Sm 3.61, 4 Tb 3.61, 2 Ac 3.86
Sm  0.7500  0.2500  0.5000  4 Ac 3.61, 4 Sm 3.61, 2 Tb 3.86

## Properties
- N(E_F): 8.4 states/eV/cell
- Energy of formation: 12.23 kJ per mole of atoms

Record 2
This record from the Alexandria database describes a relaxed structure of Ac12TbSm3. The functional is PBE.

Lattice parameters (Å, degrees): 5.5139 5.5139 21.9965 90.00 90.00 90.00
Closest atoms and distances in Å follow each position.
Element x y z (fractional)
Ac  0.0000  0.0000  0.0000  8 Ac 3.88, 4 Tb 3.90
Ac  0.0000  0.0000  0.2495  8 Ac 3.90, 4 Sm 3.90
Ac  0.0000  0.0000  0.5000  4 Sm 3.90, 8 Ac 3.90
Ac  0.0000  0.0000  0.7505  8 Ac 3.90, 4 Sm 3.90
Ac  0.0000  0.5000  0.1243  2 Tb 3.88, 8 Ac 3.88-3.90, 2 Sm 3.90
Ac  0.0000  0.5000  0.3747  8 Ac 3.90, 4 Sm 3.90
Ac  0.0000  0.5000  0.6253  8 Ac 3.90, 4 Sm 3.90
Ac  0.0000  0.5000  0.8757  2 Tb 3.88, 8 Ac 3.88-3.90, 2 Sm 3.90
Ac  0.5000  0.0000  0.1243  2 Tb 3.88, 8 Ac 3.88-3.90, 2 Sm 3.90
Ac  0.5000  0.0000  0.3747  8 Ac 3.90, 4 Sm 3.90
Ac  0.5000  0.0000  0.6253  8 Ac 3.90, 4 Sm 3.90
Ac  0.5000  0.0000  0.8757  2 Tb 3.88, 8 Ac 3.88-3.90, 2 Sm 3.90
Tb  0.5000  0.5000  0.0000  12 Ac 3.88-3.90
Sm  0.5000  0.5000  0.2494  12 Ac 3.90
Sm  0.5000  0.5000  0.5000  12 Ac 3.90
Sm  0.5000  0.5000  0.7506  12 Ac 3.90

## Properties
- N(E_F): 25.7 states/eV/cell
- Energy of formation: 2.86 kJ per mole of atoms

Record 3
This record from the Alexandria database describes a relaxed structure of AcTbSm2. The functional is PBE.

Lattice parameters (Å, degrees): 13.0281 13.0281 13.0281 15.98 15.98 15.98
Closest atoms and distances in Å follow each position.
Element x y z (fractional)
Ac  0.0000  0.0000  0.0000  2 Sm 3.56, 6 Ac 3.62
Tb  0.5000  0.5000  0.5000  6 Sm 3.55, 6 Tb 3.62
Sm  0.0924  0.0924  0.0924  3 Tb 3.55, 1 Ac 3.56, 6 Sm 3.62
Sm  0.9076  0.9076  0.9076  3 Tb 3.55, 1 Ac 3.56, 6 Sm 3.62

## Properties
- N(E_F): 6.3 states/eV/cell
- Energy of formation: 16.16 kJ per mole of atoms

Record 4
This record from the Alexandria database describes a relaxed structure of Ac2Tb7Sm4. The functional is PBE.

Lattice parameters (Å, degrees): 6.2332 6.2332 13.5213 90.00 90.00 120.00
Closest atoms and distances in Å follow each position.
Element x y z (fractional)
Ac  0.3333  0.6667  0.0000  9 Tb 3.58-3.60, 3 Ac 3.60
Ac  0.6667  0.3333  0.0000  9 Tb 3.58-3.60, 3 Ac 3.60
Tb  0.0000  0.0000  0.0000  6 Ac 3.60, 6 Tb 3.70
Tb  0.0000  0.3560  0.7808  1 Sm 3.25, 4 Tb 3.48, 2 Ac 3.58
Tb  0.0000  0.6440  0.2192  1 Sm 3.25, 4 Tb 3.48, 2 Ac 3.58
Tb  0.3560  0.0000  0.7808  1 Sm 3.25, 4 Tb 3.48, 2 Ac 3.58
Tb  0.3560  0.3560  0.2192  1 Sm 3.25, 4 Tb 3.48, 2 Ac 3.58
Tb  0.6440  0.0000  0.2192  1 Sm 3.25, 4 Tb 3.48, 2 Ac 3.58
Tb  0.6440  0.6440  0.7808  1 Sm 3.25, 4 Tb 3.48, 2 Ac 3.58
Sm  0.0000  0.0000  0.3945  1 Sm 2.85
Sm  0.0000  0.0000  0.6055  1 Sm 2.85
Sm  0.3333  0.6667  0.5000  9 Sm 3.60-3.87
Sm  0.6667  0.3333  0.5000  9 Sm 3.60-3.87

## Properties
- N(E_F): 19.7 states/eV/cell
- Energy of formation: 18.98 kJ per mole of atoms

Record 5
This record from the Alexandria database describes a relaxed structure of AcTb4Sm. The functional is PBE.

Lattice parameters (Å, degrees): 6.4883 8.8838 8.8914 60.52 69.12 77.07
Closest atoms and distances in Å follow each position.
Element x y z (fractional)
Ac  0.0594  0.2542  0.3257  8 Tb 3.48-3.87, 2 Sm 3.65-3.85
Ac  0.9406  0.7458  0.6743  8 Tb 3.48-3.87, 2 Sm 3.65-3.85
Tb  0.2627  0.3085  0.8842  5 Tb 3.28-3.62, 2 Sm 3.44-3.57, 1 Ac 3.48
Tb  0.2900  0.5035  0.4260  5 Tb 3.28-3.52, 1 Sm 3.39, 1 Ac 3.51
Tb  0.3306  0.6788  0.9170  5 Tb 3.42-3.71, 1 Sm 3.59, 2 Ac 3.66-3.79
Tb  0.4827  0.8982  0.3812  4 Tb 3.36-3.54, 2 Sm 3.61-3.62, 2 Ac 3.62-3.65
Tb  0.5173  0.1018  0.6188  4 Tb 3.36-3.54, 2 Sm 3.61-3.62, 2 Ac 3.62-3.65
Tb  0.6694  0.3212  0.0830  5 Tb 3.42-3.71, 1 Sm 3.59, 2 Ac 3.66-3.79
Tb  0.7100  0.4965  0.5740  5 Tb 3.28-3.52, 1 Sm 3.39, 1 Ac 3.51
Tb  0.7373  0.6915  0.1158  5 Tb 3.28-3.62, 2 Sm 3.44-3.57, 1 Ac 3.48
Sm  0.0746  0.9023  0.1879  1 Sm 3.31, 6 Tb 3.39-3.62, 1 Ac 3.65
Sm  0.9254  0.0977  0.8121  1 Sm 3.31, 6 Tb 3.39-3.62, 1 Ac 3.65

## Properties
- N(E_F): 18.4 states/eV/cell
- Energy of formation: 10.64 kJ per mole of atoms

Record 6
This record from the Alexandria database describes a relaxed structure of AcTbSm3. The functional is PBE.

Lattice parameters (Å, degrees): 3.7352 8.7642 11.5045 105.33 99.31 90.04
Closest atoms and distances in Å follow each position.
Element x y z (fractional)
Ac  0.2141  0.3078  0.4293  8 Sm 3.64-3.83, 4 Ac 3.74-3.81
Ac  0.7859  0.6922  0.5707  8 Sm 3.64-3.83, 4 Ac 3.74-3.81
Tb  0.0163  0.7149  0.0329  9 Sm 3.58-3.72, 3 Tb 3.64-3.74
Tb  0.9837  0.2851  0.9671  9 Sm 3.58-3.72, 3 Tb 3.64-3.74
Sm  0.1793  0.8779  0.3575  1 Tb 3.58, 3 Ac 3.64-3.76, 8 Sm 3.65-3.85
Sm  0.3883  0.4855  0.7765  4 Tb 3.59-3.65, 5 Sm 3.65-3.74, 3 Ac 3.81-3.83
Sm  0.4199  0.9268  0.8415  6 Sm 3.48-3.74, 4 Tb 3.60-3.72, 2 Ac 3.71
Sm  0.5801  0.0732  0.1585  6 Sm 3.48-3.74, 4 Tb 3.60-3.72, 2 Ac 3.71
Sm  0.6117  0.5145  0.2235  4 Tb 3.59-3.65, 5 Sm 3.65-3.74, 3 Ac 3.81-3.83
Sm  0.8207  0.1221  0.6425  1 Tb 3.58, 3 Ac 3.64-3.76, 8 Sm 3.65-3.85

## Properties
- N(E_F): 17.5 states/eV/cell
- Energy of formation: 4.27 kJ per mole of atoms

| no. | final energy (eV for the cell shown) |
| --- | --- |
| 1 | -17.67 |
| 2 | -67.61 |
| 3 | -17.51 |
| 4 | -56.95 |
| 5 | -53.37 |
| 6 | -45.35 |